Entry 1:
Material: In2HRu2
Method: DFT, PBE
State: optimized geometry

```
10
Lattice="-1.553 -0.643 -5.606 4.712 -3.347 -0.922 -2.349 -3.601 1.064" Properties=species:S:1:pos:R:3 pbc="T T T"
Ru -0.257 -0.978 -3.877
Ru 1.833 -2.761 -5.297
In 1.703 -4.133 -1.007
Ru 1.326 -1.229 -1.231
In -0.893 -3.458 -4.458
H 0.000 0.000 0.000
In -0.917 -2.568 -1.498
Ru 3.416 -3.012 -2.651
In 1.727 -5.022 -3.967
H 1.579 -1.995 -3.264
```

Calculated values
Total DFT energy (no corrections) in eV/atom: -5.220

=====

Entry 2:
Material: MgZn2Ge
Method: DFT, PBE
State: optimized geometry

```
4
Lattice="-1.637 2.772 1.711 -0.491 -0.121 3.611 5.470 3.949 2.718" Properties=species:S:1:pos:R:3 pbc="T T T"
Zn 0.658 1.562 1.983
Mg 1.671 3.300 4.020
Zn 2.684 5.038 6.057
Ge 0.000 0.000 0.000
```

Calculated values
Polymorph energy (0 for the lowest one) in eV/atom: 0.1889
Total DFT energy (no corrections) in eV/atom: -2.004
Formation energy in eV/atom: 0.1864